# 1
## ThPaTeN2 (PBE)

Data for ThPaTeN2 after structural relaxation.

Cell and atoms, written as POSCAR:
```
ThPaTeN2
1.0
-3.789 1.080 0.790
0.728 -0.326 3.939
3.320 5.774 -2.186
Te Pa Th N
1 1 1 2
Direct
0.505 0.505 0.009
0.160 0.160 0.320
0.843 0.843 0.686
0.746 0.246 0.492
0.246 0.746 0.492
```

Results
DOS at the Fermi energy in states/eV/f.u.: 2.759
Calculated total energy in eV per atom: -9.030
Uncorrected formation energy in eV/atom: -1.6882



# 2
## UPaTe2N (PBE)

Data for UPaTe2N after structural relaxation.

Cell and atoms, written as POSCAR:
```
UPaTe2N
1.0
-1.097 -2.106 -3.305
-3.245 -1.437 1.992
-7.852 11.334 -4.616
U N Te Pa
2 2 4 2
Direct
0.000 0.500 0.427
0.500 0.000 0.573
0.000 0.000 0.500
0.500 0.500 0.500
0.000 0.500 0.693
0.500 0.000 0.307
0.500 0.000 0.862
0.000 0.500 0.138
0.000 0.500 0.918
0.500 0.000 0.082
```

Results
DOS at the Fermi energy in states/eV/f.u.: 10.128
Calculated total energy in eV per atom: -8.068
Uncorrected formation energy in eV/atom: -0.9890



# 3
## PaVTe2N (PBE)

Data for PaVTe2N after structural relaxation.

Cell and atoms, written as POSCAR:
```
PaVTe2N
1.0
3.958 0.000 0.000
0.000 3.958 0.000
0.000 0.000 13.993
Te N V Pa
4 2 2 2
Direct
0.500 0.000 0.888
0.000 0.500 0.707
0.500 0.000 0.293
0.000 0.500 0.112
0.500 0.500 0.500
0.000 0.000 0.500
0.500 0.000 0.082
0.000 0.500 0.918
0.000 0.500 0.416
0.500 0.000 0.584
```

Results
DOS at the Fermi energy in states/eV/f.u.: 4.816
Calculated total energy in eV per atom: -7.607
Uncorrected formation energy in eV/atom: -0.9627



# 4
## ZrPaTe2N (PBE)

Data for ZrPaTe2N after structural relaxation.

Cell and atoms, written as POSCAR:
```
ZrPaTe2N
1.0
3.931 0.000 0.000
0.000 3.931 0.000
0.000 0.000 14.711
Zr Pa Te N
2 2 4 2
Direct
0.000 0.500 0.931
0.500 0.000 0.069
0.500 0.000 0.581
0.000 0.500 0.419
0.000 0.500 0.699
0.000 0.500 0.134
0.500 0.000 0.301
0.500 0.000 0.866
0.500 0.500 0.500
0.000 0.000 0.500
```

Results
DOS at the Fermi energy in states/eV/f.u.: 3.525
Calculated total energy in eV per atom: -7.817
Uncorrected formation energy in eV/atom: -1.2865



# 5
## ZrPaTeN2 (PBE)

Data for ZrPaTeN2 after structural relaxation.

Cell and atoms, written as POSCAR:
```
ZrPaTeN2
1.0
3.992 0.000 0.000
0.000 6.753 -0.408
0.000 -1.936 7.407
Te Pa N Zr
2 2 4 2
Direct
0.750 0.952 0.270
0.250 0.048 0.730
0.750 0.315 0.071
0.250 0.685 0.929
0.750 0.523 0.887
0.250 0.508 0.631
0.250 0.477 0.113
0.750 0.492 0.369
0.750 0.361 0.590
0.250 0.639 0.410
```

Results
DOS at the Fermi energy in states/eV/f.u.: 3.976
Calculated total energy in eV per atom: -9.043
Uncorrected formation energy in eV/atom: -1.4755



# 6
## ThPa2N4 (PBE)

Data for ThPa2N4 after structural relaxation.

Cell and atoms, written as POSCAR:
```
ThPa2N4
1.0
3.469 0.000 0.000
-1.734 5.809 0.000
0.000 0.000 10.845
N Pa Th
8 4 2
Direct
0.969 0.938 0.750
0.500 0.000 0.000
0.223 0.446 0.608
0.031 0.062 0.250
0.777 0.554 0.392
0.500 0.000 0.500
0.223 0.446 0.892
0.777 0.554 0.108
0.130 0.260 0.071
0.870 0.740 0.571
0.130 0.260 0.429
0.870 0.740 0.929
0.385 0.770 0.250
0.615 0.230 0.750
```

Results
DOS at the Fermi energy in states/eV/f.u.: 4.059
Calculated total energy in eV per atom: -10.122
Offset from the most stable computed form in eV/f.u.: 0.00
Uncorrected formation energy in eV/atom: -1.5920